Record 1
Computed, not measured: a relaxed BaPW2 crystal at the PBE-GGA level of DFT.

a = 4.9343 Å, b = 4.9343 Å, c = 17.3712 Å
α = 90.00°, β = 90.00°, γ = 90.00°
Element x y z (fractional)
Ba 0.0000 0.0000 0.0000
Ba 0.0000 0.5000 0.2500
Ba 0.5000 0.0000 0.7500
Ba 0.5000 0.5000 0.5000
P 0.0000 0.0000 0.5000
P 0.0000 0.5000 0.7500
P 0.5000 0.0000 0.2500
P 0.5000 0.5000 0.0000
W 0.0251 0.7500 0.6250
W 0.2500 0.0251 0.3750
W 0.2500 0.4749 0.8750
W 0.4749 0.7500 0.1250
W 0.5251 0.2500 0.1250
W 0.7500 0.5251 0.8750
W 0.7500 0.9749 0.3750
W 0.9749 0.2500 0.6250

## Properties
* ΔE_f: 3.02 eV per formula unit

Record 2
Computed, not measured: a relaxed BaPW2 crystal at the PBE-GGA level of DFT.

a = 6.8465 Å, b = 6.8465 Å, c = 6.8465 Å
α = 90.00°, β = 90.00°, γ = 90.00°
Element x y z (fractional)
Ba 0.0000 0.0000 0.0000
Ba 0.0000 0.5000 0.5000
Ba 0.5000 0.0000 0.5000
Ba 0.5000 0.5000 0.0000
P 0.2500 0.2500 0.2500
P 0.2500 0.7500 0.7500
P 0.7500 0.2500 0.7500
P 0.7500 0.7500 0.2500
W 0.0000 0.0000 0.5000
W 0.0000 0.5000 0.0000
W 0.2500 0.2500 0.7500
W 0.2500 0.7500 0.2500
W 0.5000 0.0000 0.0000
W 0.5000 0.5000 0.5000
W 0.7500 0.2500 0.2500
W 0.7500 0.7500 0.7500

## Properties
* ΔE_f: 5.02 eV per formula unit

Record 3
Computed, not measured: a relaxed BaP2W crystal at the PBE-GGA level of DFT.

a = 5.5547 Å, b = 5.5547 Å, c = 14.4165 Å
α = 90.00°, β = 90.00°, γ = 90.00°
Element x y z (fractional)
Ba 0.0000 0.2500 0.3750
Ba 0.0000 0.7500 0.6250
Ba 0.5000 0.2500 0.1250
Ba 0.5000 0.7500 0.8750
P 0.0000 0.0000 0.0000
P 0.0000 0.5000 0.0000
P 0.2500 0.2500 0.7500
P 0.2500 0.7500 0.2500
P 0.5000 0.0000 0.5000
P 0.5000 0.5000 0.5000
P 0.7500 0.2500 0.7500
P 0.7500 0.7500 0.2500
W 0.0000 0.2500 0.8750
W 0.0000 0.7500 0.1250
W 0.5000 0.2500 0.6250
W 0.5000 0.7500 0.3750

## Properties
* ΔE_f: -1.55 eV per formula unit
* offset from the most stable computed form: 0 meV/atom

Record 4
Computed, not measured: a relaxed BaPW2 crystal at the PBE-GGA level of DFT.

a = 5.7403 Å, b = 10.3383 Å, c = 2.8287 Å
α = 90.00°, β = 90.00°, γ = 90.00°
Element x y z (fractional)
Ba 0.0000 0.0000 0.0000
Ba 0.5000 0.5000 0.0000
P 0.0000 0.5000 0.0000
P 0.5000 0.0000 0.0000
W 0.2500 0.2500 0.5000
W 0.2500 0.7500 0.5000
W 0.7500 0.2500 0.5000
W 0.7500 0.7500 0.5000

## Properties
* ΔE_f: 6.46 eV per formula unit

Record 5
Computed, not measured: a relaxed BaP2W crystal at the PBE-GGA level of DFT.

a = 4.1596 Å, b = 4.1596 Å, c = 10.4125 Å
α = 90.00°, β = 90.00°, γ = 90.00°
Element x y z (fractional)
Ba 0.0000 0.0000 0.0000
Ba 0.5000 0.5000 0.5000
P 0.0000 0.0000 0.5000
P 0.0000 0.5000 0.7500
P 0.5000 0.0000 0.2500
P 0.5000 0.5000 0.0000
W 0.0000 0.5000 0.2500
W 0.5000 0.0000 0.7500

## Properties
* ΔE_f: 3.78 eV per formula unit
* offset from the most stable computed form: 1333 meV/atom

Record 6
Computed, not measured: a relaxed BaPW2 crystal at the PBE-GGA level of DFT.

a = 3.5113 Å, b = 5.0272 Å, c = 9.1245 Å
α = 90.00°, β = 90.00°, γ = 90.00°
Element x y z (fractional)
Ba 0.0000 0.0000 0.0000
Ba 0.5000 0.5000 0.0000
P 0.0000 0.0000 0.5000
P 0.5000 0.5000 0.5000
W 0.0000 0.5000 0.3266
W 0.0000 0.5000 0.6734
W 0.5000 0.0000 0.3266
W 0.5000 0.0000 0.6734

## Properties
* ΔE_f: 3.39 eV per formula unit